The following is a PBE calculation of crystalline BeNbSnIr2 at its relaxed geometry, from Alexandria via LeMat-Bulk.

abc: 4.796 4.796 5.260
angles: 90.00 90.00 90.00
Sites, in units of the cell vectors:
Be: 0.000 0.000 0.000
Nb: 0.500 0.500 0.500
Sn: 0.500 0.500 0.000
Ir: 0.000 0.500 0.500
Ir: 0.500 0.000 0.500

Calculated values
calculated density = 8.3 g cm⁻³
formation energy = 1624 meV/atom
crystal system = tetragonal
magnetization = 0.0 Bohr magnetons per cell
symmetry = No. 123